Computed, not measured: an optimized crystal structure of Te2RuSI at the PBE level of DFT.

Results
As for the space-group type: P4/mmm. The calculation puts the energy above the lowest structure with this stoichiometry at 0.000 eV/atom. The calculated total energy is -3.5454 eV per atom. The magnetization comes out at 0.00 μB/cell.

a = 5.1178 Å, b = 5.1178 Å, c = 5.4439 Å
α = 90.00°, β = 90.00°, γ = 90.00°
With the nearest neighbours (Å) after each atom.
Element x y z (fractional)
Te: 0.0000 0.5000 0.0000  2 Ru 2.56
Te: 0.5000 0.0000 0.0000  2 Ru 2.56
Ru: 0.0000 0.0000 0.0000  4 Te 2.56, 2 I 2.72
S: 0.5000 0.5000 0.5000  4 I 3.62, 8 Te 3.74
I: 0.0000 0.0000 0.5000  2 Ru 2.72


Computed, not measured: an optimized crystal structure of LaRe3N at the PBE level of DFT.

Results
As for the space-group type: Pm-3m. The calculation puts the energy above the lowest structure with this stoichiometry at 3.772 eV/atom. The calculated total energy is -5.8000 eV per atom. The magnetization comes out at 0.00 μB/cell.

a = 4.7979 Å, b = 4.7979 Å, c = 4.7979 Å
α = 90.00°, β = 90.00°, γ = 90.00°
With the nearest neighbours (Å) after each atom.
Element x y z (fractional)
La: 0.0000 0.0000 0.0000  6 Re 2.40
Re: 0.0000 0.0000 0.5000  2 La 2.40
Re: 0.0000 0.5000 0.0000  2 La 2.40
Re: 0.5000 0.0000 0.0000  2 La 2.40
N: 0.5000 0.5000 0.5000  12 Re 3.39


Computed, not measured: an optimized crystal structure of Cs2WCCl6 at the PBE level of DFT.

Results
As for the space-group type: I4/mmm. The calculated total energy is -4.0038 eV per atom. The magnetization comes out at 4.00 μB/cell.

a = 7.6795 Å, b = 7.6795 Å, c = 7.6795 Å
α = 123.47°, β = 123.47°, γ = 84.08°
With the nearest neighbours (Å) after each atom.
Element x y z (fractional)
Cs: 0.2500 0.7500 0.5000  12 Cl 3.66-3.84
Cs: 0.7500 0.2500 0.5000  12 Cl 3.66-3.84
W: 0.0000 0.0000 0.0000  6 Cl 2.41
C: 0.5000 0.5000 0.0000  4 Cl 2.73
Cl: 0.2113 0.2113 0.0000  1 W 2.41
Cl: 0.2348 0.2348 0.4696  1 W 2.41
Cl: 0.2348 0.7652 0.0000  1 W 2.41
Cl: 0.7652 0.2348 0.0000  1 W 2.41
Cl: 0.7652 0.7652 0.5304  1 W 2.41
Cl: 0.7887 0.7887 0.0000  1 W 2.41


Computed, not measured: an optimized crystal structure of Cd7In3Hg4 at the PBE level of DFT.

Results
As for the space-group type: C2/m. The calculated total energy is -1.0976 eV per atom. The magnetization comes out at 0.00 μB/cell.

a = 8.2475 Å, b = 8.2475 Å, c = 10.1891 Å
α = 121.57°, β = 121.57°, γ = 37.63°
With the nearest neighbours (Å) after each atom.
Element x y z (fractional)
Cd: 0.0000 0.0000 0.0000  6 Cd 3.03-3.09, 2 Hg 3.15
Cd: 0.1471 0.1471 0.3548  2 Cd 3.03-3.38, 2 Hg 3.12, 4 In 3.13-3.35
Cd: 0.2970 0.2970 0.2110  4 Hg 3.00-3.09, 1 Cd 3.15, 2 In 3.15
Cd: 0.4408 0.4408 0.0834  3 Hg 3.00-3.10, 1 In 3.09, 4 Cd 3.09-3.15
Cd: 0.5592 0.5592 0.9166  3 Hg 3.00-3.10, 1 In 3.09, 4 Cd 3.09-3.15
Cd: 0.7030 0.7030 0.7890  4 Hg 3.00-3.09, 1 Cd 3.15, 2 In 3.15
Cd: 0.8529 0.8529 0.6452  2 Cd 3.03-3.38, 2 Hg 3.12, 4 In 3.13-3.35
In: 0.0000 0.0000 0.5000  6 Hg 3.08-3.18, 2 Cd 3.35
In: 0.2821 0.2821 0.7237  6 Cd 3.09-3.15, 2 Hg 3.26-3.31
In: 0.7179 0.7179 0.2763  6 Cd 3.09-3.15, 2 Hg 3.26-3.31
Hg: 0.1376 0.1376 0.8625  6 Cd 3.00-3.15, 2 In 3.08-3.26
Hg: 0.4173 0.4173 0.5636  4 Cd 3.00-3.12, 3 In 3.18-3.31
Hg: 0.5827 0.5827 0.4364  4 Cd 3.00-3.12, 3 In 3.18-3.31
Hg: 0.8624 0.8624 0.1375  6 Cd 3.00-3.15, 2 In 3.08-3.26


Computed, not measured: an optimized crystal structure of SrTlSi2 at the PBE level of DFT.

Results
As for the space-group type: I-4m2. The calculation puts the energy above the lowest structure with this stoichiometry at 0.323 eV/atom. The calculated total energy is -3.5151 eV per atom. The magnetization comes out at 0.00 μB/cell.

a = 5.7526 Å, b = 5.7526 Å, c = 5.7526 Å
α = 134.15°, β = 134.15°, γ = 66.86°
With the nearest neighbours (Å) after each atom.
Element x y z (fractional)
Sr: 0.0000 0.0000 0.0000  8 Si 3.17-3.28, 4 Tl 3.28
Tl: 0.2500 0.7500 0.5000  8 Si 3.17-3.28, 4 Sr 3.28
Si: 0.5000 0.5000 0.0000  4 Sr 3.17, 4 Tl 3.28, 4 Si 3.28
Si: 0.7500 0.2500 0.5000  4 Tl 3.17, 4 Si 3.28, 4 Sr 3.28


Computed, not measured: an optimized crystal structure of MgSiPd at the PBE level of DFT.

Results
As for the space-group type: P2_1/m. The calculated total energy is -4.5755 eV per atom. The magnetization comes out at 0.00 μB/cell.

a = 6.6089 Å, b = 3.9972 Å, c = 11.1844 Å
α = 90.00°, β = 90.46°, γ = 90.00°
With the nearest neighbours (Å) after each atom.
Element x y z (fractional)
Mg: 0.0109 0.2500 0.2953  5 Si 2.74-2.83, 5 Pd 2.93-3.00
Mg: 0.3493 0.2500 0.0796  5 Si 2.82-2.89, 4 Pd 2.89-3.14
Mg: 0.4858 0.2500 0.3797  5 Si 2.76-2.93, 5 Pd 2.88-3.07
Mg: 0.5142 0.7500 0.6203  5 Si 2.76-2.93, 5 Pd 2.88-3.07
Mg: 0.6507 0.7500 0.9204  5 Si 2.82-2.89, 4 Pd 2.89-3.14
Mg: 0.9891 0.7500 0.7047  5 Si 2.74-2.83, 5 Pd 2.93-3.00
Si: 0.2146 0.2500 0.5858  4 Pd 2.44-2.57
Si: 0.2202 0.7500 0.9088  5 Pd 2.44-2.61
Si: 0.2914 0.7500 0.2541  3 Pd 2.44-2.50
Si: 0.7086 0.2500 0.7459  3 Pd 2.44-2.50
Si: 0.7798 0.2500 0.0912  5 Pd 2.44-2.61
Si: 0.7854 0.7500 0.4142  4 Pd 2.44-2.57
Pd: 0.0344 0.7500 0.0964  4 Si 2.44-2.61
Pd: 0.1653 0.7500 0.4645  4 Si 2.44-2.57
Pd: 0.3490 0.2500 0.7961  4 Si 2.45-2.52
Pd: 0.6510 0.7500 0.2039  4 Si 2.45-2.52
Pd: 0.8347 0.2500 0.5355  4 Si 2.44-2.57
Pd: 0.9656 0.2500 0.9036  4 Si 2.44-2.61


Computed, not measured: an optimized crystal structure of TlRhCl2 at the PBE level of DFT.

Results
As for the space-group type: Cm. The calculation puts the energy above the lowest structure with this stoichiometry at 0.000 eV/atom. The calculated total energy is -3.7939 eV per atom. The magnetization comes out at 0.00 μB/cell.

a = 5.9977 Å, b = 5.9977 Å, c = 5.9236 Å
α = 119.24°, β = 119.24°, γ = 34.00°
With the nearest neighbours (Å) after each atom.
Element x y z (fractional)
Tl: 0.0000 0.0000 0.0000  3 Rh 3.02-3.23, 2 Cl 3.20-3.24
Rh: 0.7346 0.7346 0.9911  4 Cl 2.37
Cl: 0.1540 0.1540 0.6774  2 Rh 2.37
Cl: 0.3281 0.3281 0.3045  2 Rh 2.37


Computed, not measured: an optimized crystal structure of TiTeRuN2 at the PBE level of DFT.

Results
As for the space-group type: P4/mmm. The calculation puts the energy above the lowest structure with this stoichiometry at 0.000 eV/atom. The calculated total energy is -6.6109 eV per atom. The magnetization comes out at 0.00 μB/cell.

a = 3.8627 Å, b = 3.8627 Å, c = 5.5917 Å
α = 90.00°, β = 90.00°, γ = 90.00°
With the nearest neighbours (Å) after each atom.
Element x y z (fractional)
Ti: 0.0000 0.0000 0.0000  4 Te 2.73
Te: 0.5000 0.5000 0.0000  4 Ti 2.73, 2 Ru 2.80
Ru: 0.5000 0.5000 0.5000  4 N 1.93
N: 0.0000 0.5000 0.5000  2 Ru 1.93
N: 0.5000 0.0000 0.5000  2 Ru 1.93